No. 1
# Pr2BeGe3Pt4

A relaxed structure of Pr2BeGe3Pt4 (PBE-GGA, Alexandria via LeMat-Bulk).

```
data_Pr2BeGe3Pt4
_chemical_formula_sum 'Pr2 Be1 Ge3 Pt4'
_cell_length_a 4.318
_cell_length_b 4.318
_cell_length_c 10.082
_cell_angle_alpha 90.00
_cell_angle_beta 90.00
_cell_angle_gamma 90.00
_symmetry_space_group_name_H-M 'P -4 m 2'
_symmetry_Int_Tables_number 115
_symmetry_space_group_name_Hall 'P -4 -2'
loop_
_atom_site_label
_atom_site_type_symbol
_atom_site_fract_x
_atom_site_fract_y
_atom_site_fract_z
Pr1 Pr 0.000 0.500 0.241
Be1 Be 0.500 0.500 0.000
Ge1 Ge 0.000 0.000 0.000
Ge2 Ge 0.000 0.500 0.636
Pt1 Pt 0.000 0.000 0.500
Pt2 Pt 0.000 0.500 0.882
Pt3 Pt 0.500 0.500 0.500
```

E_form in eV per formula unit: -9.09

=====

No. 2
# BaTiSe3

A relaxed structure of BaTiSe3 (PBE-GGA, Alexandria via LeMat-Bulk).

```
data_BaTiSe3
_chemical_formula_sum 'Ba1 Ti1 Se3'
_cell_length_a 5.884
_cell_length_b 5.884
_cell_length_c 5.884
_cell_angle_alpha 90.00
_cell_angle_beta 90.00
_cell_angle_gamma 90.00
_symmetry_space_group_name_H-M 'P m -3 m'
_symmetry_Int_Tables_number 221
_symmetry_space_group_name_Hall '-P 4 2 3'
loop_
_atom_site_label
_atom_site_type_symbol
_atom_site_fract_x
_atom_site_fract_y
_atom_site_fract_z
Ba1 Ba 0.000 0.000 0.000
Ti1 Ti 0.500 0.500 0.500
Se1 Se 0.000 0.000 0.500
```

Energy relative to the elements, uncorrected in meV/atom: 516